First-principles (PBE) data for an optimized crystal structure of SiPtSe2, as listed in Alexandria via LeMat-Bulk.

Cell lengths 6.7950, 6.7950, 6.7950 Å; angles 31.53, 31.53, 31.53 degrees
Last column: nearest neighbours and their distance in Å.
Atoms (fractional coordinates):
1 Pt 0.7560 0.7560 0.7560  3 Si 2.51, 3 Se 2.56
2 Se 0.2366 0.2366 0.2366  3 Si 2.62
3 Se 0.0161 0.0161 0.0161  3 Pt 2.56
4 Si 0.4913 0.4913 0.4913  3 Pt 2.51, 3 Se 2.62

Fermi-level density of states in states/eV per cell: 2.38
Crystal system: trigonal
VASP energy in eV per atom: -4.762
Space-group type: R3m, No. 160



First-principles (PBE) data for an optimized crystal structure of CdIr2Pt2, as listed in Alexandria via LeMat-Bulk.

Cell lengths 7.7339, 7.7339, 2.8241 Å; angles 90.00, 90.00, 90.00 degrees
Last column: nearest neighbours and their distance in Å.
Atoms (fractional coordinates):
1 Pt 0.1770 0.6770 0.5000  6 Ir 2.61-2.74, 2 Pt 2.82
2 Pt 0.6770 0.8230 0.5000  6 Ir 2.61-2.74, 2 Pt 2.82
3 Ir 0.1220 0.3780 0.0000  6 Pt 2.61-2.74, 3 Ir 2.67-2.82
4 Pt 0.8230 0.3230 0.5000  6 Ir 2.61-2.74, 2 Pt 2.82
5 Ir 0.8780 0.6220 0.0000  6 Pt 2.61-2.74, 3 Ir 2.67-2.82
6 Cd 0.0000 0.0000 0.0000  2 Cd 2.82, 4 Ir 3.07
7 Ir 0.6220 0.1220 0.0000  6 Pt 2.61-2.74, 3 Ir 2.67-2.82
8 Ir 0.3780 0.8780 0.0000  6 Pt 2.61-2.74, 3 Ir 2.67-2.82
9 Cd 0.5000 0.5000 0.0000  2 Cd 2.82, 4 Ir 3.07
10 Pt 0.3230 0.1770 0.5000  6 Ir 2.61-2.74, 2 Pt 2.82

Fermi-level density of states in states/eV per cell: 13.46
Crystal system: tetragonal
Energy above the lowest structure with this stoichiometry in eV per atom: 0.0000
Space-group type: P4/mbm, No. 127



First-principles (PBE) data for an optimized crystal structure of Cr5CoIr6, as listed in Alexandria via LeMat-Bulk.

Cell lengths 3.7915, 7.0290, 7.0290 Å; angles 107.80, 105.65, 105.65 degrees
Last column: nearest neighbours and their distance in Å.
Atoms (fractional coordinates):
1 Ir 0.2477 0.4140 0.0813  1 Co 2.63, 7 Cr 2.63-2.66, 4 Ir 2.68
2 Co 0.0000 0.0000 0.0000  8 Ir 2.63, 4 Cr 2.69
3 Ir 0.7523 0.5860 0.9187  1 Co 2.63, 7 Cr 2.63-2.66, 4 Ir 2.68
4 Ir 0.7523 0.9187 0.5860  1 Co 2.63, 7 Cr 2.63-2.66, 4 Ir 2.68
5 Cr 0.5000 0.5000 0.5000  8 Ir 2.65-2.66, 4 Cr 2.65
6 Cr 0.5000 0.1686 0.8314  8 Ir 2.63-2.64, 2 Cr 2.69, 2 Co 2.69
7 Ir 0.7474 0.2474 0.2474  6 Cr 2.63-2.66, 2 Co 2.63, 4 Ir 2.68
8 Ir 0.2526 0.7526 0.7526  6 Cr 2.63-2.66, 2 Co 2.63, 4 Ir 2.68
9 Cr 0.0000 0.6635 0.3365  8 Ir 2.63-2.66, 4 Cr 2.65-2.69
10 Ir 0.2477 0.0813 0.4140  1 Co 2.63, 7 Cr 2.63-2.66, 4 Ir 2.68
11 Cr 0.0000 0.3365 0.6635  8 Ir 2.63-2.66, 4 Cr 2.65-2.69
12 Cr 0.5000 0.8314 0.1686  8 Ir 2.63-2.64, 2 Cr 2.69, 2 Co 2.69

Fermi-level density of states in states/eV per cell: 12.60
Crystal system: orthorhombic
VASP energy in eV per atom: -9.200
Space-group type: Immm, No. 71



First-principles (PBE) data for an optimized crystal structure of NpTl3Pd2Se6, as listed in Alexandria via LeMat-Bulk.

Cell lengths 6.5846, 6.5846, 8.3752 Å; angles 97.46, 97.46, 119.96 degrees
Last column: nearest neighbours and their distance in Å.
Atoms (fractional coordinates):
1 Np 0.0000 0.0000 0.0000  6 Se 2.79-2.81
2 Se 0.5816 0.9371 0.8084  2 Pd 2.63, 1 Np 2.81
3 Se 0.7080 0.7080 0.1890  2 Pd 2.62, 1 Np 2.79
4 Pd 0.3331 0.6669 0.0000  6 Se 2.62-2.63
5 Tl 0.8389 0.1611 0.5000  6 Se 3.27-3.37
6 Se 0.9371 0.5816 0.8084  2 Pd 2.63, 1 Np 2.81
7 Tl 0.5000 0.5000 0.5000  6 Se 3.24-3.38
8 Pd 0.6669 0.3331 0.0000  6 Se 2.62-2.63
9 Se 0.4184 0.0629 0.1916  2 Pd 2.63, 1 Np 2.81
10 Tl 0.1611 0.8389 0.5000  6 Se 3.27-3.37
11 Se 0.2920 0.2920 0.8110  2 Pd 2.62, 1 Np 2.79
12 Se 0.0629 0.4184 0.1916  2 Pd 2.63, 1 Np 2.81

Fermi-level density of states in states/eV per cell: 11.84
Crystal system: monoclinic
VASP energy in eV per atom: -4.774
Space-group type: C2/m, No. 12



First-principles (PBE) data for an optimized crystal structure of TaNbSe2Br, as listed in Alexandria via LeMat-Bulk.

Cell lengths 5.0609, 5.0609, 4.9964 Å; angles 90.00, 90.00, 90.00 degrees
Last column: nearest neighbours and their distance in Å.
Atoms (fractional coordinates):
1 Br 0.0000 0.0000 0.5000  2 Ta 2.50
2 Se 0.0000 0.5000 0.0000  2 Ta 2.53
3 Nb 0.5000 0.5000 0.5000  8 Se 3.56, 4 Br 3.58
4 Ta 0.0000 0.0000 0.0000  2 Br 2.50, 4 Se 2.53
5 Se 0.5000 0.0000 0.0000  2 Ta 2.53

Fermi-level density of states in states/eV per cell: 6.88
Crystal system: tetragonal
Energy above the lowest structure with this stoichiometry in eV per atom: 0.0000
Space-group type: P4/mmm, No. 123



First-principles (PBE) data for an optimized crystal structure of PuMgSnBi, as listed in Alexandria via LeMat-Bulk.

Cell lengths 4.3782, 4.8452, 4.9379 Å; angles 90.00, 90.00, 90.00 degrees
Last column: nearest neighbours and their distance in Å.
Atoms (fractional coordinates):
1 Sn 0.0000 0.0000 0.0000  4 Mg 3.27, 4 Pu 3.30, 4 Bi 3.46
2 Mg 0.5000 0.5000 0.0000  4 Sn 3.27, 4 Bi 3.30, 4 Pu 3.46
3 Bi 0.0000 0.5000 0.5000  4 Pu 3.27, 4 Mg 3.30, 4 Sn 3.46
4 Pu 0.5000 0.0000 0.5000  4 Bi 3.27, 4 Sn 3.30, 4 Mg 3.46

Fermi-level density of states in states/eV per cell: 11.09
Crystal system: orthorhombic
Energy above the lowest structure with this stoichiometry in eV per atom: 0.0000
Space-group type: Pmmm, No. 47



no.,magnetization (μB/atom)
1,0.0000
2,0.0000
3,0.0091
4,0.2336
5,0.7256
6,1.3634